No. 1
Ac5CoPb4 after structural relaxation, computed with GGA-PBE.

```
Ac5CoPb4
1.0
-5.2538 5.2538 3.2751
5.2538 -5.2538 3.2751
5.2538 5.2538 -3.2751
Ac Co Pb
5 1 4
Cartesian
0.0000 0.0000 0.0000 Ac
6.4454 2.7233 0.0000 Ac
2.7233 4.0622 0.0000 Ac
2.5305 1.1916 3.2751 Ac
-1.1916 2.5305 3.2751 Ac
0.0000 0.0000 3.2751 Co
3.5849 0.6485 0.0000 Pb
4.6053 -1.6689 3.2751 Pb
0.6485 6.9227 0.0000 Pb
1.6689 4.6053 3.2751 Pb
```

Energy relative to the elements   -247 meV per atom
Crystal system   tetragonal

No. 2
Ta4Nb5Ru2 after structural relaxation, computed with GGA-PBE.

```
Ta4Nb5Ru2
1.0
9.5707 -1.3931 0.0000
9.5707 1.3931 0.0000
-1.2858 0.0000 7.5579
Ta Nb Ru
4 5 2
Cartesian
0.0962 0.0000 1.3467 Ta
5.9080 0.0000 7.3512 Ta
11.9477 0.0000 0.2068 Ta
17.7595 0.0000 6.2113 Ta
2.7292 0.0000 3.1175 Nb
3.4624 0.0000 6.1534 Nb
8.9278 0.0000 3.7790 Nb
14.3933 0.0000 1.4045 Nb
15.1265 0.0000 4.4405 Nb
1.1533 0.0000 5.2691 Ru
16.7024 0.0000 2.2888 Ru
```

Energy relative to the elements   255 meV per atom
Crystal system   monoclinic